Below is PaMn2IrO8 after structural relaxation, with properties calculated at the GGA+U level.

Summary:
V: 317.20 Å³ per cell
Raw total energy: -7.63 eV/atom
Size of the total moment: 3.97 μB/f.u.
ρ: 6.92 g cm⁻³

abc: 6.640 6.640 7.194
angles: 90.00 90.00 90.00
Space group I-4m2 (No. 119)
Inequivalent atoms, fractional coordinates:
Pa  0.000  0.000  0.000 [2 per cell]
Mn  0.000  0.000  0.500 [2 per cell]
Mn  0.000  0.500  0.250 [2 per cell]
Ir  0.000  0.500  0.750 [2 per cell]
O  0.000  0.209  0.713 [8 per cell]
O  0.000  0.312  0.077 [8 per cell]